{"formula": "Ba2HRuN", "functional": "PBE-GGA", "state": "optimized geometry", "magnetic_moment_mub_per_cell": 0.0, "final_energy_ev_per_atom": -5.22, "crystal_system": "tetragonal", "cell": [[5.675, 0.000, 0.000], [0.000, 5.675, 0.000], [0.000, 0.000, 3.797]], "species": ["Ba", "Ba", "Ru", "N", "H"], "fractional_positions": [[0.000, 0.500, 0.000], [0.500, 0.000, 0.000], [0.000, 0.000, 0.500], [0.000, 0.000, 0.000], [0.500, 0.500, 0.500]]}



{"formula": "NaNb2AsO8", "functional": "PBE-GGA", "state": "optimized geometry", "magnetic_moment_mub_per_cell": 0.0, "raw_formation_energy_ev_per_atom": -2.117, "crystal_system": "monoclinic", "cell": [[-3.486, 6.831, 4.353], [1.616, -1.917, 4.301], [13.878, 6.474, 0.953]], "species": ["O", "O", "O", "O", "O", "O", "O", "O", "O", "O", "O", "O", "O", "O", "O", "O", "O", "O", "O", "O", "O", "O", "O", "O", "O", "O", "O", "O", "O", "O", "O", "O", "As", "As", "As", "As", "Nb", "Nb", "Nb", "Nb", "Nb", "Nb", "Nb", "Nb", "Na", "Na", "Na", "Na"], "fractional_positions": [[0.555, 0.802, 0.438], [0.055, 0.198, 0.062], [0.945, 0.228, 0.246], [0.623, 0.764, 0.999], [0.742, 0.795, 0.798], [0.877, 0.764, 0.499], [0.721, 0.107, 0.123], [0.897, 0.660, 0.109], [0.555, 0.228, 0.746], [0.945, 0.802, 0.938], [0.377, 0.236, 0.001], [0.258, 0.205, 0.202], [0.445, 0.198, 0.562], [0.758, 0.795, 0.298], [0.123, 0.236, 0.501], [0.779, 0.107, 0.623], [0.279, 0.893, 0.877], [0.874, 0.330, 0.755], [0.221, 0.893, 0.377], [0.603, 0.660, 0.609], [0.784, 0.294, 0.931], [0.103, 0.340, 0.891], [0.626, 0.330, 0.255], [0.126, 0.670, 0.245], [0.216, 0.706, 0.069], [0.397, 0.340, 0.391], [0.284, 0.706, 0.569], [0.716, 0.294, 0.431], [0.055, 0.772, 0.754], [0.445, 0.772, 0.254], [0.242, 0.205, 0.702], [0.374, 0.670, 0.745], [0.765, 0.111, 0.233], [0.735, 0.111, 0.733], [0.235, 0.889, 0.767], [0.265, 0.889, 0.267], [0.575, 0.541, 0.359], [0.925, 0.541, 0.859], [0.709, 0.941, 0.519], [0.209, 0.059, 0.981], [0.075, 0.459, 0.141], [0.425, 0.459, 0.641], [0.291, 0.059, 0.481], [0.791, 0.941, 0.019], [0.023, 0.457, 0.619], [0.477, 0.457, 0.119], [0.977, 0.543, 0.381], [0.523, 0.543, 0.881]]}



{"formula": "PrPaH3", "functional": "PBE-GGA", "state": "optimized geometry", "magnetic_moment_mub_per_cell": 0.0, "final_energy_ev_per_atom": -4.98, "crystal_system": "cubic", "cell": [[4.199, 0.000, 0.000], [0.000, 4.199, 0.000], [0.000, 0.000, 4.199]], "species": ["H", "H", "H", "Pr", "Pa"], "fractional_positions": [[0.500, 0.000, 0.000], [0.000, 0.500, 0.000], [0.000, 0.000, 0.500], [0.500, 0.500, 0.500], [0.000, 0.000, 0.000]]}



Here are the calculated calculated density numbers, same order: 5.31; 4.13; 8.41 (g cm⁻³).